Here is an optimized crystal structure of ScC3O from Alexandria. Energies are from PBE-GGA.

Formation energy from raw total energies, meV per atom: 3154

a b c (Å): 4.3106 4.3106 4.3106
angles (deg): 90.00 90.00 90.00
Atoms (fractional coordinates):
1 Sc 0.0000 0.0000 0.0000
2 C 0.5000 0.0000 0.0000
3 C 0.0000 0.0000 0.5000
4 C 0.0000 0.5000 0.0000
5 O 0.5000 0.5000 0.5000